[1]
Crystalline Tl2Cd at its relaxed geometry. Source: Alexandria via LeMat-Bulk, functional PBE.

Cell and atoms, written as CIF:
```
data_Tl2Cd
_symmetry_space_group_name_H-M 'P 1'
_symmetry_Int_Tables_number 1
_symmetry_space_group_name_Hall 'P 1'
_cell_length_a 6.645
_cell_length_b 4.969
_cell_length_c 10.443
_cell_angle_alpha 90.00
_cell_angle_beta 90.00
_cell_angle_gamma 90.00
loop_
_atom_site_label
_atom_site_fract_x
_atom_site_fract_y
_atom_site_fract_z
_atom_site_occupancy
Tl1 0.050 0.250 0.233 1
Tl2 0.179 0.250 0.567 1
Tl3 0.321 0.750 0.067 1
Tl4 0.450 0.750 0.733 1
Tl5 0.550 0.250 0.267 1
Tl6 0.679 0.250 0.933 1
Tl7 0.821 0.750 0.433 1
Tl8 0.950 0.750 0.767 1
Cd1 0.186 0.250 0.898 1
Cd2 0.314 0.750 0.398 1
Cd3 0.686 0.250 0.602 1
Cd4 0.814 0.750 0.102 1
```

- Relative energy among the computed polymorphs: 0.015 eV per atom
- SG: Pnma (62)
- Formation energy: 0.0463 eV/atom

=====

[2]
Crystalline Li2FeTc at its relaxed geometry. Source: Alexandria via LeMat-Bulk, functional PBE.

Cell and atoms, written as CIF:
```
data_Li2FeTc
_symmetry_space_group_name_H-M 'P 1'
_symmetry_Int_Tables_number 1
_symmetry_space_group_name_Hall 'P 1'
_cell_length_a 4.043
_cell_length_b 4.043
_cell_length_c 4.043
_cell_angle_alpha 60.00
_cell_angle_beta 60.00
_cell_angle_gamma 60.00
loop_
_atom_site_label
_atom_site_fract_x
_atom_site_fract_y
_atom_site_fract_z
_atom_site_occupancy
Li1 0.250 0.250 0.250 1
Li2 0.750 0.750 0.750 1
Fe1 0.000 0.000 0.000 1
Tc1 0.500 0.500 0.500 1
```

- Relative energy among the computed polymorphs: 0.663 eV per atom
- SG: Fm-3m (225)
- Formation energy: 0.8599 eV/atom

=====

[3]
Crystalline Ac3Ga4Si2 at its relaxed geometry. Source: Alexandria via LeMat-Bulk, functional PBE.

Cell and atoms, written as CIF:
```
data_Ac3Ga4Si2
_symmetry_space_group_name_H-M 'P 1'
_symmetry_Int_Tables_number 1
_symmetry_space_group_name_Hall 'P 1'
_cell_length_a 6.368
_cell_length_b 6.368
_cell_length_c 8.789
_cell_angle_alpha 95.80
_cell_angle_beta 95.80
_cell_angle_gamma 39.43
loop_
_atom_site_label
_atom_site_fract_x
_atom_site_fract_y
_atom_site_fract_z
_atom_site_occupancy
Ac1 0.000 0.000 0.000 1
Ac2 0.333 0.333 0.335 1
Ac3 0.667 0.667 0.665 1
Ga1 0.055 0.055 0.387 1
Ga2 0.276 0.276 0.942 1
Ga3 0.724 0.724 0.058 1
Ga4 0.945 0.945 0.613 1
Si1 0.390 0.390 0.725 1
Si2 0.610 0.610 0.275 1
```

- Uncorrected formation energy: -558 kJ/mol of formula units
- SG: C2/m (12)